VASP calculation (GGA-PBE) on crystalline Tb3Sm7Sc2 at its relaxed geometry.

Lattice parameters (Å, degrees): 6.5123 6.5123 11.5772 73.66 73.66 60.00
Fractional positions:
Tb  0.0000  0.0000  0.0000
Tb  0.1521  0.1521  0.5438
Tb  0.8479  0.8479  0.4562
Sm  0.5000  0.5000  0.5000
Sm  0.0775  0.5842  0.7541
Sm  0.5842  0.5842  0.7541
Sm  0.5842  0.0775  0.7541
Sm  0.9225  0.4158  0.2459
Sm  0.4158  0.9225  0.2459
Sm  0.4158  0.4158  0.2459
Sc  0.3338  0.3338  0.9985
Sc  0.6662  0.6662  0.0015

Calculated total energy (eV per formula unit): -55.98
Magnetic moment (μB/f.u.): 0.0